Here is a relaxed structure of La4H2Rh from Alexandria. Energies are from GGA-PBE.

Computed properties:
- total moment (μB/f.u.) = 0.00
- calculated total energy (eV per atom) = -5.08

a b c (Å): 5.4265 5.4265 7.4774
angles (deg): 68.72 68.72 90.00
Positions (direct):
H (0.5765, 0.5765, 0.8470)
H (0.4235, 0.4235, 0.1530)
Rh (0.0000, 0.0000, 0.0000)
La (0.7592, 0.7592, 0.4817)
La (0.2408, 0.2408, 0.5183)
La (0.0000, 0.5000, 0.0000)
La (0.5000, 0.0000, 0.0000)